Record 1
HfMn2Bi2 after structural relaxation. Source: Alexandria, functional PBE.

Calculated values
ΔE_f (meV per atom): 403
Magnetic moment (μB/cell): 6.8

a b c (Å): 3.821 3.821 8.000
angles (deg): 76.18 76.18 90.00
Site moments in Bohr magnetons follow the coordinates.
Sites, in units of the cell vectors:
1 Mn 0.750 0.250 0.500  3.34
2 Mn 0.250 0.750 0.500  3.34
3 Hf 0.000 0.000 0.000  -0.04
4 Bi 0.391 0.391 0.219  -0.08
5 Bi 0.609 0.609 0.781  -0.08

=====

Record 2
HfMnBi2 after structural relaxation. Source: Alexandria, functional PBE.

Calculated values
ΔE_f (meV per atom): 512
Polymorph energy (0 for the lowest one) (eV per atom): 0.000
Magnetic moment (μB/cell): 6.1

a b c (Å): 4.488 4.488 10.814
angles (deg): 78.02 78.02 90.00
Site moments in Bohr magnetons follow the coordinates.
Sites, in units of the cell vectors:
1 Mn 0.500 0.500 0.000  3.62
2 Mn 0.250 0.750 0.500  3.62
3 Hf 0.000 0.000 0.000  -0.46
4 Hf 0.750 0.250 0.500  -0.46
5 Bi 0.619 0.125 0.250  -0.02
6 Bi 0.131 0.625 0.250  -0.02
7 Bi 0.375 0.381 0.750  -0.02
8 Bi 0.875 0.869 0.750  -0.02

=====

Record 3
HfMnBi3 after structural relaxation. Source: Alexandria, functional PBE.

Calculated values
ΔE_f (meV per atom): 723
Polymorph energy (0 for the lowest one) (eV per atom): 0.000
Magnetic moment (μB/cell): 3.6

a b c (Å): 5.229 5.229 5.229
angles (deg): 90.00 90.00 90.00
Site moments in Bohr magnetons follow the coordinates.
Sites, in units of the cell vectors:
1 Mn 0.000 0.000 0.000  2.99
2 Hf 0.500 0.500 0.500  0.40
3 Bi 0.000 0.500 0.000  -0.07
4 Bi 0.000 0.000 0.500  -0.05
5 Bi 0.500 0.000 0.000  -0.09

=====

Record 4
Hf6MnBi3 after structural relaxation. Source: Alexandria, functional PBE.

Calculated values
ΔE_f (meV per atom): -24
Polymorph energy (0 for the lowest one) (eV per atom): 0.000
Magnetic moment (μB/cell): 0.0

a b c (Å): 4.430 10.419 12.248
angles (deg): 120.59 90.00 90.00
Sites, in units of the cell vectors:
1 Hf 0.250 0.421 0.090
2 Hf 0.750 0.579 0.910
3 Hf 0.250 0.144 0.167
4 Hf 0.750 0.856 0.833
5 Hf 0.250 0.726 0.625
6 Hf 0.750 0.274 0.375
7 Hf 0.250 0.090 0.400
8 Hf 0.750 0.910 0.600
9 Hf 0.250 0.788 0.377
10 Hf 0.750 0.212 0.623
11 Hf 0.250 0.058 0.811
12 Hf 0.750 0.942 0.189
13 Mn 0.250 0.048 0.599
14 Mn 0.750 0.952 0.401
15 Bi 0.250 0.476 0.355
16 Bi 0.750 0.524 0.645
17 Bi 0.250 0.357 0.822
18 Bi 0.750 0.643 0.178
19 Bi 0.250 0.803 0.979
20 Bi 0.750 0.197 0.021

=====

Record 5
HfMnBi3 after structural relaxation. Source: Alexandria, functional PBE.

Calculated values
ΔE_f (meV per atom): 1290
Polymorph energy (0 for the lowest one) (eV per atom): 0.568
Magnetic moment (μB/cell): 0.7

a b c (Å): 5.593 5.593 5.593
angles (deg): 90.00 90.00 90.00
Site moments in Bohr magnetons follow the coordinates.
Sites, in units of the cell vectors:
1 Mn 0.500 0.500 0.500  0.59
2 Hf 0.000 0.000 0.000  0.02
3 Bi 0.000 0.500 0.000  -0.01
4 Bi 0.000 0.000 0.500  -0.01
5 Bi 0.500 0.000 0.000  -0.01

=====

Record 6
NaHf2MnBi after structural relaxation. Source: Alexandria, functional PBE.

Calculated values
ΔE_f (meV per atom): 547
Magnetic moment (μB/cell): 1.2

a b c (Å): 4.780 5.304 4.780
angles (deg): 90.00 90.00 90.00
Site moments in Bohr magnetons follow the coordinates.
Sites, in units of the cell vectors:
1 Na 0.000 0.500 0.000  0.00
2 Mn 0.000 0.000 0.000  1.52
3 Hf 0.000 0.000 0.500  -0.21
4 Hf 0.500 0.000 0.000  -0.14
5 Bi 0.500 0.500 0.500  0.07

=====

Record 7
Hf2MnNbBi after structural relaxation. Source: Alexandria, functional PBE.

Calculated values
ΔE_f (meV per atom): 729
Magnetic moment (μB/cell): 1.2

a b c (Å): 4.763 4.881 4.763
angles (deg): 90.00 90.00 90.00
Site moments in Bohr magnetons follow the coordinates.
Sites, in units of the cell vectors:
1 Nb 0.500 0.500 0.500  0.73
2 Mn 0.000 0.000 0.000  0.44
3 Hf 0.000 0.000 0.500  -0.06
4 Hf 0.500 0.000 0.000  -0.04
5 Bi 0.000 0.500 0.000  -0.01

=====

Number 3 is which compound? HfMnBi3